[1]
12
Lattice="-0.654 -1.774 4.183 9.706 3.483 2.995 -1.853 3.965 1.392" Properties=species:S:1:pos:R:3 comment="Hf4CuIr GGA-PBE optimized geometry" e_above_lowest_polymorph_mev_per_atom=0 ef_ev_per_fu=-2.660 pbc="T T T"
Hf 7.881 2.059 4.626
Hf 5.107 3.378 4.751
Hf 7.272 4.925 3.227
Hf 2.092 2.296 3.819
Hf -0.072 0.749 5.344
Hf 0.849 3.395 6.610
Hf -0.682 3.615 3.945
Hf 6.350 2.279 1.961
Cu 3.927 3.724 2.194
Cu -1.253 1.095 2.788
Ir 0.000 0.000 0.000
Ir 4.526 0.854 3.589

[2]
4
Lattice="2.537 -3.497 1.029 0.533 -1.185 4.247 -1.871 -3.732 1.516" Properties=species:S:1:pos:R:3 comment="HfCuIr2 GGA-PBE optimized geometry" ef_ev_per_fu=-1.958 pbc="T T T"
Hf 0.600 -4.207 3.396
Cu 0.000 0.000 0.000
Ir 0.300 -2.103 1.698
Ir 0.899 -6.310 5.093